Entry 1:
The following is a PBE calculation of a relaxed CuSBr2Cl crystal, from Alexandria.

The structure in POSCAR format:
```
CuSBr2Cl
1.0
5.2520 0.0000 0.0000
0.0000 5.2520 0.0000
0.0000 0.0000 4.7335
Cu S Br Cl
1 1 2 1
direct
0.0000 0.0000 0.0000 Cu
0.5000 0.5000 0.0000 S
0.0000 0.5000 0.5000 Br
0.5000 0.0000 0.5000 Br
0.5000 0.5000 0.5000 Cl
```

Output
- crystal system = tetragonal
- total magnetization (Bohr magnetons per cell) = 0.0
- SG = P4/mmm (123)


Entry 2:
The following is a PBE calculation of a relaxed CdRuCl2 crystal, from Alexandria.

The structure in POSCAR format:
```
CdRuCl2
1.0
1.7876 1.0321 9.2484
-1.7876 1.0321 9.2484
0.0000 -2.0642 9.2484
Cd Ru Cl
1 1 2
direct
0.0000 0.0000 0.0000 Cd
0.5000 0.5000 0.5000 Ru
0.2116 0.2116 0.2116 Cl
0.7884 0.7884 0.7884 Cl
```

Output
- crystal system = trigonal
- total magnetization (Bohr magnetons per cell) = 0.0
- polymorph energy (0 for the lowest one) (eV/atom) = 0.120
- SG = R-3m (166)


no.,electronic total energy (eV for the cell shown),formation energy without anion corrections (eV/atom)
1,-8.79,0.925
2,-14.18,-0.075